[1]
Entry from Alexandria via LeMat-Bulk: an optimized crystal structure of ScTaP2 (PBE).

DFT formation energy = -0.1131 eV/atom
Relative energy among the computed polymorphs = 4.13 eV/f.u.

Cell lengths 8.1117, 8.1117, 8.1117 Å; angles 22.56, 22.56, 22.56 degrees
Last column: nearest neighbours and their distance in Å.
Atoms (fractional coordinates):
P  0.9952  0.9952  0.9952  3 P 2.44, 3 Ta 2.57
P  0.2608  0.2608  0.2608  3 P 2.44
Sc  0.5060  0.5060  0.5060  3 P 2.78, 3 Ta 3.02
Ta  0.7379  0.7379  0.7379  3 P 2.57

=====

[2]
Entry from Alexandria via LeMat-Bulk: an optimized crystal structure of ScTa2P (PBE).

DFT formation energy = -0.0876 eV/atom

Cell lengths 4.6971, 3.0798, 5.0284 Å; angles 82.72, 90.00, 90.00 degrees
Last column: nearest neighbours and their distance in Å.
Atoms (fractional coordinates):
Sc  0.5000  0.0000  0.5000  2 P 2.78, 4 Ta 2.96, 2 Sc 3.08
Ta  0.0000  0.3602  0.7543  2 Ta 2.59-2.72, 2 P 2.71
Ta  0.0000  0.6398  0.2457  2 Ta 2.59-2.72, 2 P 2.71
P  0.5000  0.5000  0.0000  4 Ta 2.71, 2 Sc 2.78

=====

[3]
Entry from Alexandria via LeMat-Bulk: an optimized crystal structure of ScTaP (PBE).

DFT formation energy = -0.3234 eV/atom

Cell lengths 4.2185, 4.2185, 3.6252 Å; angles 90.00, 90.00, 120.00 degrees
Last column: nearest neighbours and their distance in Å.
Atoms (fractional coordinates):
Sc  0.6667  0.3333  0.0000  6 P 3.04, 6 Ta 3.04
Ta  0.3333  0.6667  0.5000  3 P 2.44
P  0.0000  0.0000  0.5000  3 Ta 2.44

=====

[4]
Entry from Alexandria via LeMat-Bulk: an optimized crystal structure of ScTa2P (PBE).

DFT formation energy = -0.3642 eV/atom

Cell lengths 5.3024, 5.3024, 4.1242 Å; angles 90.00, 90.00, 141.64 degrees
Last column: nearest neighbours and their distance in Å.
Atoms (fractional coordinates):
Sc  0.6052  0.3948  0.5000  3 Ta 2.72-2.88, 4 P 2.77
Ta  0.8891  0.1109  0.0000  4 Ta 2.76, 3 P 2.79-2.82
Ta  0.3338  0.6662  0.5000  2 P 2.65, 3 Sc 2.72-2.88, 4 Ta 2.76
P  0.1681  0.8319  0.0000  5 Ta 2.65-2.82, 4 Sc 2.77

=====

[5]
Entry from Alexandria via LeMat-Bulk: an optimized crystal structure of Sc2TaP (PBE).

DFT formation energy = -0.4302 eV/atom

Cell lengths 5.5577, 5.5577, 3.9543 Å; angles 90.00, 90.00, 140.18 degrees
Last column: nearest neighbours and their distance in Å.
Atoms (fractional coordinates):
Sc  0.9780  0.0220  0.0000  4 P 2.84, 3 Ta 2.95-2.97
Sc  0.2775  0.7225  0.5000  3 P 2.84-3.05, 4 Ta 2.87
Ta  0.6939  0.3061  0.0000  2 P 2.49
P  0.5488  0.4512  0.5000  2 Ta 2.49

=====

[6]
Entry from Alexandria via LeMat-Bulk: an optimized crystal structure of ScTaP (PBE).

DFT formation energy = -0.5961 eV/atom

Cell lengths 3.3989, 3.3989, 5.6322 Å; angles 90.00, 90.00, 120.00 degrees
Last column: nearest neighbours and their distance in Å.
Atoms (fractional coordinates):
Sc  0.6667  0.3333  0.2892  3 P 2.59
Ta  0.3333  0.6667  0.7226  3 P 2.47
P  0.0000  0.0000  0.9882  3 Ta 2.47, 3 Sc 2.59

=====

[7]
Entry from Alexandria via LeMat-Bulk: an optimized crystal structure of ScTaP2 (PBE).

DFT formation energy = -0.7670 eV/atom
Relative energy among the computed polymorphs = 1.52 eV/f.u.

Cell lengths 3.2737, 3.1594, 6.6619 Å; angles 72.56, 90.00, 90.00 degrees
Last column: nearest neighbours and their distance in Å.
Atoms (fractional coordinates):
P  0.0000  0.0951  0.9699  2 Sc 2.64, 4 Ta 2.64-2.70, 1 P 2.80
P  0.0000  0.4049  0.5301  2 Sc 2.64, 4 Ta 2.64-2.70, 1 P 2.80
Sc  0.5000  0.2500  0.2500  4 P 2.64
Ta  0.5000  0.7500  0.7500  8 P 2.64-2.70

=====

[8]
Entry from Alexandria via LeMat-Bulk: an optimized crystal structure of ScTaP (PBE).

DFT formation energy = -0.4708 eV/atom

Cell lengths 4.2596, 4.2596, 4.2596 Å; angles 60.00, 60.00, 60.00 degrees
Last column: nearest neighbours and their distance in Å.
Atoms (fractional coordinates):
Sc  0.0000  0.0000  0.0000  4 P 2.61
Ta  0.5000  0.5000  0.5000  4 P 2.61
P  0.2500  0.2500  0.2500  4 Ta 2.61, 4 Sc 2.61

=====

[9]
Entry from Alexandria via LeMat-Bulk: an optimized crystal structure of Sc2TaP (PBE).

DFT formation energy = -0.3683 eV/atom

Cell lengths 5.7072, 5.7072, 4.8353 Å; angles 65.10, 65.10, 33.54 degrees
Last column: nearest neighbours and their distance in Å.
Atoms (fractional coordinates):
Sc  0.9451  0.9451  0.0554  2 P 2.58
Sc  0.7521  0.7521  0.7476  4 P 2.93, 2 Ta 3.06-3.08, 2 Sc 3.07
Ta  0.5595  0.5595  0.4408  2 P 2.44
P  0.2433  0.2433  0.2562  2 Ta 2.44, 2 Sc 2.58

=====

[10]
Entry from Alexandria via LeMat-Bulk: an optimized crystal structure of ScTa2P (PBE).

DFT formation energy = -0.2070 eV/atom

Cell lengths 5.0939, 5.0939, 4.7022 Å; angles 74.72, 74.72, 36.90 degrees
Last column: nearest neighbours and their distance in Å.
Atoms (fractional coordinates):
Sc  0.5000  0.5000  0.0000  4 P 2.85, 6 Ta 2.86-3.05
Ta  0.2719  0.2719  0.7229  2 P 2.70, 4 Ta 2.77-2.99, 1 Sc 2.86
Ta  0.7281  0.7281  0.2771  2 P 2.70, 4 Ta 2.77-2.99, 1 Sc 2.86
P  0.0000  0.0000  0.5000  4 Ta 2.70, 4 Sc 2.85

=====

[11]
Entry from Alexandria via LeMat-Bulk: an optimized crystal structure of ScTa2P (PBE).

DFT formation energy = -0.3733 eV/atom

Cell lengths 3.3646, 3.3646, 6.1306 Å; angles 90.00, 90.00, 90.00 degrees
Last column: nearest neighbours and their distance in Å.
Atoms (fractional coordinates):
Sc  0.5000  0.5000  0.7341  5 Ta 2.83-2.94, 4 P 2.85
Ta  0.0000  0.0000  0.0148  1 P 2.84, 4 Ta 2.86, 4 Sc 2.94
Ta  0.5000  0.5000  0.2728  4 P 2.69, 1 Sc 2.83, 4 Ta 2.86
P  0.0000  0.0000  0.4782  5 Ta 2.69-2.84, 4 Sc 2.85

=====

[12]
Entry from Alexandria via LeMat-Bulk: an optimized crystal structure of ScTaTi2P (PBE).

DFT formation energy = -0.1645 eV/atom

Cell lengths 4.5870, 4.6976, 4.5870 Å; angles 90.00, 90.00, 90.00 degrees
Last column: nearest neighbours and their distance in Å.
Atoms (fractional coordinates):
Sc  0.5000  0.5000  0.5000  4 Ta 3.24, 8 Ti 3.28
P  0.0000  0.0000  0.0000  4 Ti 2.29, 2 Ta 2.35
Ti  0.0000  0.0000  0.5000  2 P 2.29
Ti  0.5000  0.0000  0.0000  2 P 2.29
Ta  0.0000  0.5000  0.0000  2 P 2.35

=====

[13]
Entry from Alexandria via LeMat-Bulk: an optimized crystal structure of YScTa2P (PBE).

DFT formation energy = 1.0761 eV/atom

Cell lengths 4.8395, 4.8824, 4.8395 Å; angles 90.00, 90.00, 90.00 degrees
Last column: nearest neighbours and their distance in Å.
Atoms (fractional coordinates):
Y  0.5000  0.5000  0.5000  4 P 3.42, 8 Ta 3.44
Sc  0.0000  0.0000  0.0000  4 Ta 2.42, 2 P 2.44
P  0.0000  0.5000  0.0000  2 Sc 2.44
Ta  0.0000  0.0000  0.5000  2 Sc 2.42
Ta  0.5000  0.0000  0.0000  2 Sc 2.42

=====

[14]
Entry from Alexandria via LeMat-Bulk: an optimized crystal structure of Tb2ScP3 (PBE).

DFT formation energy = -1.5336 eV/atom
Relative energy among the computed polymorphs = 0.05 eV/f.u.

Cell lengths 3.9549, 3.9549, 8.8020 Å; angles 102.98, 102.98, 90.00 degrees
Last column: nearest neighbours and their distance in Å.
Atoms (fractional coordinates):
Tb  0.1000  0.1013  0.2054  6 P 2.77-2.87
Tb  0.7685  0.7698  0.5425  6 P 2.77-2.87
Sc  0.4341  0.4359  0.8740  6 P 2.70-2.80
P  0.9341  0.9359  0.8740  2 Tb 2.77, 4 Sc 2.80
P  0.2722  0.2735  0.5499  1 Sc 2.70, 5 Tb 2.80-2.87
P  0.5963  0.5976  0.1980  1 Sc 2.70, 5 Tb 2.80-2.87

=====

[15]
Entry from Alexandria via LeMat-Bulk: an optimized crystal structure of TbSc3P4 (PBE).

DFT formation energy = -1.4987 eV/atom

Cell lengths 3.8337, 6.6287, 6.6287 Å; angles 70.50, 90.00, 90.00 degrees
Last column: nearest neighbours and their distance in Å.
Atoms (fractional coordinates):
Sc  0.5000  0.0001  0.5000  6 P 2.65
Sc  0.9999  0.0001  0.0000  6 P 2.71
Sc  0.0000  0.5001  0.5000  6 P 2.71
P  0.0000  0.7616  0.7385  4 Sc 2.65-2.71, 2 Tb 2.77
P  0.5000  0.7558  0.2556  5 Sc 2.65-2.71, 1 Tb 2.77
P  0.0000  0.2386  0.2615  4 Sc 2.65-2.71, 2 Tb 2.77
P  0.4999  0.2444  0.7443  5 Sc 2.65-2.71, 1 Tb 2.77
Tb  0.5000  0.5001  0.0000  6 P 2.77

=====

[16]
Entry from Alexandria via LeMat-Bulk: an optimized crystal structure of Tb2ScP3 (PBE).

DFT formation energy = -1.5426 eV/atom
Relative energy among the computed polymorphs = 0.00 eV/f.u.

Cell lengths 3.9430, 5.5966, 6.8208 Å; angles 114.22, 106.80, 90.00 degrees
Last column: nearest neighbours and their distance in Å.
Atoms (fractional coordinates):
Tb  0.6680  0.1680  0.3360  6 P 2.80-2.85
Tb  0.3320  0.8320  0.6640  6 P 2.80-2.85
Sc  0.0000  0.5000  0.0000  6 P 2.71-2.80
P  0.3420  0.3420  0.6840  2 Sc 2.71, 4 Tb 2.80-2.85
P  0.0000  0.0000  0.0000  4 Tb 2.80, 2 Sc 2.80
P  0.6580  0.6580  0.3160  2 Sc 2.71, 4 Tb 2.80-2.85

=====

[17]
Entry from Alexandria via LeMat-Bulk: an optimized crystal structure of Tb3ScP4 (PBE).

DFT formation energy = -1.5609 eV/atom

Cell lengths 6.8675, 6.8625, 7.9390 Å; angles 90.00, 90.00, 109.51 degrees
Last column: nearest neighbours and their distance in Å.
Atoms (fractional coordinates):
Sc  0.7500  0.0000  0.8765  6 P 2.73-2.75
Sc  0.2500  0.0000  0.1235  6 P 2.73-2.75
P  0.9944  0.2451  0.6306  1 Sc 2.75, 5 Tb 2.80-2.88
P  0.5004  0.2389  0.8810  2 Sc 2.73-2.74, 4 Tb 2.80-2.87
P  0.4944  0.2451  0.3694  1 Sc 2.75, 5 Tb 2.80-2.88
P  0.0004  0.2389  0.1190  2 Sc 2.73-2.74, 4 Tb 2.80-2.87
P  0.9996  0.7611  0.8810  2 Sc 2.73-2.74, 4 Tb 2.80-2.87
P  0.5056  0.7549  0.6306  1 Sc 2.75, 5 Tb 2.80-2.88
P  0.4996  0.7611  0.1190  2 Sc 2.73-2.74, 4 Tb 2.80-2.87
P  0.0056  0.7549  0.3694  1 Sc 2.75, 5 Tb 2.80-2.88
Tb  0.7500  0.0000  0.3734  6 P 2.80-2.82
Tb  0.2500  0.0000  0.6266  6 P 2.80-2.82
Tb  0.7500  0.5000  0.6268  6 P 2.80-2.88
Tb  0.7500  0.5000  0.1238  6 P 2.80-2.87
Tb  0.2500  0.5000  0.3732  6 P 2.80-2.88
Tb  0.2500  0.5000  0.8762  6 P 2.80-2.87

=====

[18]
Entry from Alexandria via LeMat-Bulk: an optimized crystal structure of Tb3ScP4 (PBE).

DFT formation energy = -1.5593 eV/atom

Cell lengths 3.9694, 6.8640, 6.8640 Å; angles 109.48, 90.00, 90.00 degrees
Last column: nearest neighbours and their distance in Å.
Atoms (fractional coordinates):
Tb  0.0000  0.0000  0.5000  6 P 2.80
Tb  0.5000  0.5000  0.5000  6 P 2.86
Tb  0.0000  0.5000  0.0000  6 P 2.80
Sc  0.5000  0.0000  0.0000  6 P 2.74-2.75
P  0.0000  0.2395  0.2395  2 Sc 2.75, 4 Tb 2.80-2.86
P  0.5000  0.7554  0.2446  1 Sc 2.74, 5 Tb 2.80-2.86
P  0.0000  0.7605  0.7605  2 Sc 2.75, 4 Tb 2.80-2.86
P  0.5000  0.2446  0.7554  1 Sc 2.74, 5 Tb 2.80-2.86

=====

[19]
Entry from Alexandria via LeMat-Bulk: an optimized crystal structure of Tb2ScP (PBE).

DFT formation energy = -0.4100 eV/atom

Cell lengths 3.7136, 3.7136, 9.9479 Å; angles 79.24, 79.24, 60.00 degrees
Last column: nearest neighbours and their distance in Å.
Atoms (fractional coordinates):
Sc  0.0000  0.0000  0.0000  2 Tb 3.21
P  0.5000  0.5000  0.5000  6 Tb 2.70
Tb  0.1102  0.1102  0.6694  3 P 2.70
Tb  0.8898  0.8898  0.3306  3 P 2.70

=====

[20]
Entry from Alexandria via LeMat-Bulk: an optimized crystal structure of TbScTeP (PBE).

E_tot = -0.2327 hartree per atom

Cell lengths 3.9777, 3.9779, 7.3801 Å; angles 90.00, 105.63, 120.00 degrees
Last column: nearest neighbours and their distance in Å.
Atoms (fractional coordinates):
Tb  0.4962  0.1461  0.6575  3 P 2.81
Sc  0.1072  0.9515  0.0740  3 P 2.64
Te  0.9579  0.3770  0.3500  3 Sc 3.00, 3 Tb 3.15
P  0.3166  0.5562  0.8881  3 Sc 2.64, 3 Tb 2.81